Tb4ErTe5: relaxed, GGA-PBE.

Unit cell a=7.5586 b=7.5586 c=7.5586 alpha=99.55 beta=99.55 gamma=131.92
Closest atoms and distances in Å follow each position.
Atoms (fractional coordinates):
Tb 0.0933 0.6865 0.7798  6 Te 3.05-3.19
Tb 0.3135 0.0933 0.4068  6 Te 3.05-3.19
Tb 0.6865 0.9067 0.5932  6 Te 3.05-3.19
Tb 0.9067 0.3135 0.2202  6 Te 3.05-3.19
Er 0.5000 0.5000 0.0000  6 Te 3.03-3.08
Te 0.0000 0.0000 0.0000  2 Er 3.08, 4 Tb 3.19
Te 0.2089 0.3931 0.6020  1 Er 3.03, 5 Tb 3.05-3.10
Te 0.3931 0.7911 0.1842  1 Er 3.03, 5 Tb 3.05-3.10
Te 0.6069 0.2089 0.8158  1 Er 3.03, 5 Tb 3.05-3.10
Te 0.7911 0.6069 0.3980  1 Er 3.03, 5 Tb 3.05-3.10

Properties
* total energy: -5.1692 eV/atom
* uncorrected formation energy: -1290 meV per atom

***

SrTbInHg: relaxed, GGA-PBE.

Unit cell a=5.5084 b=5.5084 c=5.5084 alpha=60.00 beta=60.00 gamma=60.00
Closest atoms and distances in Å follow each position.
Atoms (fractional coordinates):
Sr 0.0000 0.0000 0.0000  4 Hg 3.37, 4 In 3.37
Tb 0.5000 0.5000 0.5000  4 In 3.37, 4 Hg 3.37
In 0.7500 0.7500 0.7500  4 Tb 3.37, 4 Sr 3.37
Hg 0.2500 0.2500 0.2500  4 Tb 3.37, 4 Sr 3.37

Properties
* total energy: -2.7694 eV/atom
* formation energy from the elements: -0.431 eV per atom

***

- Among the records above, which one has the lowest total energy?
  Tb4ErTe5